No. 1
VASP calculation (GGA-PBEsol) on an optimized crystal structure of Cu2PBr.

Unit cell a=3.415 b=3.415 c=18.761 alpha=90.00 beta=90.00 gamma=120.00
Fractional coordinates of all 12 atoms:
Cu 0.000 0.000 0.236
Cu 0.000 0.000 0.764
Cu 0.333 0.667 0.431
Cu 0.333 0.667 0.902
Cu 0.667 0.333 0.098
Cu 0.667 0.333 0.569
P 0.000 0.000 0.500
P 0.333 0.667 0.167
P 0.667 0.333 0.833
Br 0.000 0.000 0.000
Br 0.333 0.667 0.667
Br 0.667 0.333 0.333

M_tot: 0.0 Bohr magnetons per cell
electronic total energy: -4.0436 eV/atom
space group: R-3m, No. 166
Fermi-level density of states: 5.15 states/eV per cell
uncorrected formation energy: 0.04 eV/atom
E above lowest polymorph: 0.00 kJ/mol of atoms

***

No. 2
VASP calculation (GGA-PBEsol) on an optimized crystal structure of Rb2BaSiSe.

Unit cell a=7.772 b=7.772 c=5.805 alpha=90.00 beta=90.00 gamma=90.00
Fractional coordinates of all 5 atoms:
Rb 0.000 0.500 0.000
Rb 0.500 0.000 0.000
Ba 0.000 0.000 0.000
Si 0.500 0.500 0.500
Se 0.000 0.000 0.500

M_tot: 2.2 Bohr magnetons per cell
electronic total energy: -2.3035 eV/atom
space group: P4/mmm, No. 123
Fermi-level density of states: 0.90 states/eV per cell
uncorrected formation energy: 0.46 eV/atom

***

No. 3
VASP calculation (GGA-PBEsol) on an optimized crystal structure of KAl2HN.

Unit cell a=3.885 b=3.885 c=5.102 alpha=90.00 beta=90.00 gamma=90.00
Fractional coordinates of all 5 atoms:
K 0.000 0.000 0.000
Al 0.000 0.500 0.500
Al 0.500 0.000 0.500
H 0.500 0.500 0.500
N 0.500 0.500 0.000

M_tot: 0.9 Bohr magnetons per cell
electronic total energy: -3.2808 eV/atom
space group: P4/mmm, No. 123
Fermi-level density of states: 1.93 states/eV per cell

***

No. 4
VASP calculation (GGA-PBEsol) on an optimized crystal structure of MgAl3I.

Unit cell a=5.232 b=5.232 c=5.232 alpha=90.00 beta=90.00 gamma=90.00
Fractional coordinates of all 5 atoms:
Mg 0.000 0.000 0.000
Al 0.000 0.000 0.500
Al 0.000 0.500 0.000
Al 0.500 0.000 0.000
I 0.500 0.500 0.500

M_tot: 0.0 Bohr magnetons per cell
electronic total energy: -2.4868 eV/atom
space group: Pm-3m, No. 221
Fermi-level density of states: 2.59 states/eV per cell
uncorrected formation energy: 0.66 eV/atom
E above lowest polymorph: 0.00 kJ/mol of atoms

***

No. 5
VASP calculation (GGA-PBEsol) on an optimized crystal structure of LaGe4Rh6.

Unit cell a=7.126 b=7.126 c=3.855 alpha=90.00 beta=90.00 gamma=120.00
Fractional coordinates of all 11 atoms:
La 0.000 0.000 0.000
Ge 0.333 0.667 0.000
Ge 0.399 0.200 0.500
Ge 0.800 0.200 0.500
Ge 0.800 0.601 0.500
Rh 0.201 0.403 0.500
Rh 0.201 0.799 0.500
Rh 0.533 0.066 0.000
Rh 0.533 0.467 0.000
Rh 0.597 0.799 0.500
Rh 0.934 0.467 0.000

M_tot: 0.0 Bohr magnetons per cell
electronic total energy: -7.5009 eV/atom
space group: P-6m2, No. 187
Fermi-level density of states: 4.16 states/eV per cell

***

No. 6
VASP calculation (GGA-PBEsol) on an optimized crystal structure of Na2SrCa.

Unit cell a=8.664 b=8.664 c=8.664 alpha=90.00 beta=90.00 gamma=90.00
Fractional coordinates of all 16 atoms:
Na 0.250 0.250 0.250
Na 0.250 0.250 0.750
Na 0.250 0.750 0.250
Na 0.250 0.750 0.750
Na 0.750 0.250 0.250
Na 0.750 0.250 0.750
Na 0.750 0.750 0.250
Na 0.750 0.750 0.750
Sr 0.000 0.000 0.000
Sr 0.000 0.500 0.500
Sr 0.500 0.000 0.500
Sr 0.500 0.500 0.000
Ca 0.000 0.000 0.500
Ca 0.000 0.500 0.000
Ca 0.500 0.000 0.000
Ca 0.500 0.500 0.500

M_tot: 0.0 Bohr magnetons per cell
electronic total energy: -1.6377 eV/atom
space group: Fm-3m, No. 225
Fermi-level density of states: 12.20 states/eV per cell

***

No. 7
VASP calculation (GGA-PBEsol) on an optimized crystal structure of Ta4PtRh.

Unit cell a=5.246 b=5.246 c=5.246 alpha=60.00 beta=60.00 gamma=60.00
Fractional coordinates of all 6 atoms:
Ta 0.125 0.125 0.125
Ta 0.125 0.125 0.626
Ta 0.125 0.626 0.125
Ta 0.626 0.125 0.125
Pt 0.500 0.500 0.500
Rh 0.750 0.750 0.750

M_tot: 0.0 Bohr magnetons per cell
electronic total energy: -10.7065 eV/atom
space group: F-43m, No. 216
Fermi-level density of states: 4.98 states/eV per cell

***

No. 8
VASP calculation (GGA-PBEsol) on an optimized crystal structure of Tc2AgHg.

Unit cell a=4.014 b=4.014 c=7.778 alpha=90.00 beta=90.00 gamma=90.00
Fractional coordinates of all 8 atoms:
Tc 0.000 0.000 0.000
Tc 0.000 0.500 0.250
Tc 0.500 0.000 0.750
Tc 0.500 0.500 0.500
Ag 0.000 0.000 0.500
Ag 0.500 0.500 0.000
Hg 0.000 0.500 0.750
Hg 0.500 0.000 0.250

M_tot: 0.0 Bohr magnetons per cell
electronic total energy: -6.0351 eV/atom
space group: I-4m2, No. 119
Fermi-level density of states: 6.05 states/eV per cell

***

Q: What is the electronic total energy in the eighth record?
A: -6.0351 eV/atom